The following is a PBE-GGA calculation of an optimized crystal structure of BeTcOs2Se, from Alexandria.

abc: 4.6981 4.6981 4.1891
angles: 90.00 90.00 90.00
Space group P4/mmm (No. 123)
Symmetry-distinct sites (fractional):
Be 0.0000 0.0000 0.0000 [1 per cell]
Tc 0.0000 0.0000 0.5000 [1 per cell]
Os 0.0000 0.5000 0.5000 [2 per cell]
Se 0.5000 0.5000 0.0000 [1 per cell]

Magnetization ... 0.0000 μB per atom
DOS at the Fermi energy ... 5.700 states/eV/f.u.
Formation energy (no corrections) ... 1713 meV per atom
Uncorrected energy ... -6.29 eV/atom

***

The following is a PBE-GGA calculation of an optimized crystal structure of Zn2AgIr, from Alexandria.

abc: 9.5502 2.9628 4.4859
angles: 90.00 108.65 90.00
Space group Cm (No. 8)
Symmetry-distinct sites (fractional):
Zn 0.0000 0.0000 0.0000 [2 per cell]
Zn 0.2458 0.5000 0.3586 [2 per cell]
Ag 0.2499 0.0000 0.8549 [2 per cell]
Ir 0.4854 0.0000 0.4843 [2 per cell]

Magnetization ... 0.0000 μB per atom
DOS at the Fermi energy ... 1.729 states/eV/f.u.
Uncorrected energy ... -3.63 eV/atom
Formation enthalpy at 0 K ... -0.06 eV/atom

***

The following is a PBE-GGA calculation of an optimized crystal structure of NpZnPbAu, from Alexandria.

abc: 7.1406 7.1406 7.1406
angles: 90.00 90.00 90.00
Space group F-43m (No. 216)
Symmetry-distinct sites (fractional):
Np 0.0000 0.0000 0.0000 [4 per cell]
Zn 0.2500 0.2500 0.7500 [4 per cell]
Pb 0.0000 0.0000 0.5000 [4 per cell]
Au 0.2500 0.2500 0.2500 [4 per cell]

Magnetization ... 1.0602 μB per atom
DOS at the Fermi energy ... 8.587 states/eV/f.u.
Uncorrected energy ... -5.27 eV/atom
Formation enthalpy at 0 K ... 0.03 eV/atom

***

The following is a PBE-GGA calculation of an optimized crystal structure of AcMgAlPt, from Alexandria.

abc: 4.3740 4.3740 18.0398
angles: 90.00 90.00 120.00
Space group R3m (No. 160, hexagonal axes)
Symmetry-distinct sites (fractional):
Ac 0.0000 0.0000 0.0000 [3 per cell]
Mg 0.0000 0.0000 0.1978 [3 per cell]
Al 0.0000 0.0000 0.7908 [3 per cell]
Pt 0.0000 0.0000 0.4730 [3 per cell]

Magnetization ... 0.0000 μB per atom
DOS at the Fermi energy ... 3.646 states/eV/f.u.
Uncorrected energy ... -4.52 eV/atom
Formation enthalpy at 0 K ... -0.65 eV/atom

***

The following is a PBE-GGA calculation of an optimized crystal structure of NaCd3Au, from Alexandria.

abc: 5.3240 5.3240 5.3240
angles: 90.00 90.00 90.00
Space group Pm-3m (No. 221)
Symmetry-distinct sites (fractional):
Na 0.0000 0.0000 0.0000 [1 per cell]
Cd 0.0000 0.5000 0.5000 [3 per cell]
Au 0.5000 0.5000 0.5000 [1 per cell]

Magnetization ... 0.0000 μB per atom
DOS at the Fermi energy ... 1.869 states/eV/f.u.
ΔE to the lowest computed polymorph ... 131 meV/atom
Uncorrected energy ... -1.51 eV/atom
Formation enthalpy at 0 K ... -0.04 eV/atom

***

The following is a PBE-GGA calculation of an optimized crystal structure of Li2ReAu, from Alexandria.

abc: 9.6397 2.6225 4.9230
angles: 90.00 98.16 90.00
Space group Cm (No. 8)
Symmetry-distinct sites (fractional):
Li 0.0000 0.0000 0.0000 [2 per cell]
Li 0.2363 0.0000 0.8134 [2 per cell]
Re 0.2534 0.5000 0.3235 [2 per cell]
Au 0.0009 0.5000 0.4952 [2 per cell]

Magnetization ... 0.0000 μB per atom
DOS at the Fermi energy ... 2.926 states/eV/f.u.
ΔE to the lowest computed polymorph ... 217 meV/atom
Uncorrected energy ... -4.66 eV/atom
Formation enthalpy at 0 K ... 0.23 eV/atom